As3OsCl (PBE, relaxed); energy relative to the elements, uncorrected = 550 meV per atom; polymorph energy (0 for the lowest one) = 0.0 meV/atom
1.0
4.845 0.000 0.000
0.000 4.845 0.000
0.000 0.000 4.845
As Os Cl
3 1 1
Cartesian
0.000 0.000 2.423 As
0.000 2.423 0.000 As
2.423 0.000 0.000 As
0.000 0.000 0.000 Os
2.423 2.423 2.423 Cl

=====

AsOsCl (PBE, relaxed); energy relative to the elements, uncorrected = 360 meV per atom; polymorph energy (0 for the lowest one) = 188.4 meV/atom
1.0
0.000 2.991 2.991
2.991 0.000 2.991
2.991 2.991 0.000
As Os Cl
1 1 1
Cartesian
0.000 0.000 0.000 As
4.486 4.486 4.486 Os
2.991 2.991 2.991 Cl

=====

As4OsCl (PBE, relaxed); energy relative to the elements, uncorrected = 1052 meV per atom
1.0
0.000 3.886 3.886
3.886 0.000 3.886
3.886 3.886 0.000
As Os Cl
4 1 1
Cartesian
0.935 0.935 0.935 As
2.951 2.951 0.935 As
2.951 0.935 2.951 As
0.935 2.951 2.951 As
3.886 3.886 3.886 Os
5.830 5.830 5.830 Cl

=====

As4Os2Cl (PBE, relaxed); energy relative to the elements, uncorrected = 863 meV per atom
1.0
-2.386 2.386 6.862
2.386 -2.386 6.862
2.386 2.386 -6.862
As Os Cl
4 2 1
Cartesian
2.386 0.000 0.000 As
0.000 0.000 3.313 As
0.000 2.386 0.000 As
0.000 0.000 10.411 As
0.000 0.000 5.577 Os
0.000 0.000 8.146 Os
0.000 0.000 0.000 Cl

=====

As2OsCl (PBE, relaxed); energy relative to the elements, uncorrected = 277 meV per atom; polymorph energy (0 for the lowest one) = 301.1 meV/atom
1.0
-3.102 3.102 5.566
3.102 -3.102 5.566
3.102 3.102 -5.566
As Os Cl
4 2 2
Cartesian
4.654 1.018 -1.392 As
1.018 1.551 1.392 As
-1.551 2.084 4.175 As
2.084 1.551 6.958 As
0.000 0.000 0.000 Os
0.000 3.102 2.783 Os
3.102 0.000 2.783 Cl
0.000 0.000 5.566 Cl

=====

As2OsCl (PBE, relaxed); energy relative to the elements, uncorrected = -24 meV per atom; polymorph energy (0 for the lowest one) = 0.0 meV/atom
1.0
3.682 -1.582 0.000
3.682 1.582 0.000
-2.456 0.000 7.403
As Os Cl
2 1 1
Cartesian
0.271 0.000 2.455 As
4.636 0.000 4.949 As
2.453 0.000 3.702 Os
0.000 0.000 0.000 Cl